# 1
# HgOsRh | Alexandria | PBE-GGA | relaxed
# * calculated total energy: -0.4350 Ry/atom
data_HgOsRh
_symmetry_space_group_name_H-M 'I 4 m m'
_symmetry_Int_Tables_number 107
_symmetry_space_group_name_Hall 'I 4 -2'
_cell_length_a 2.8268
_cell_length_b 2.8268
_cell_length_c 12.3243
_cell_angle_alpha 90.00
_cell_angle_beta 90.00
_cell_angle_gamma 90.00
loop_
_atom_site_label
_atom_site_fract_x
_atom_site_fract_y
_atom_site_fract_z
Hg1 0.0000 0.0000 0.0000
Os1 0.0000 0.0000 0.3167
Rh1 0.0000 0.0000 0.6808



# 2
# Pr8Ag2Pt | Alexandria | PBE-GGA | relaxed
# * calculated total energy: -0.3528 Ry/atom
data_Pr8Ag2Pt
_symmetry_space_group_name_H-M 'C 1 2/m 1'
_symmetry_Int_Tables_number 12
_cell_length_a 18.4685
_cell_length_b 5.2785
_cell_length_c 7.0967
_cell_angle_alpha 90.00
_cell_angle_beta 101.17
_cell_angle_gamma 90.00
loop_
_symmetry_equiv_pos_as_xyz
'x,y,z'
'-x,-y,-z'
'-x,y,-z'
'x,-y,z'
'x+1/2,y+1/2,z'
'-x+1/2,-y+1/2,-z'
'-x+1/2,y+1/2,-z'
'x+1/2,-y+1/2,z'
loop_
_atom_site_label
_atom_site_fract_x
_atom_site_fract_y
_atom_site_fract_z
Pr1 0.0243 0.0000 0.2779
Pr2 0.0889 0.5000 0.9454
Pr3 0.1585 0.5000 0.4731
Pr4 0.2021 0.0000 0.8302
Ag1 0.1895 0.0000 0.2459
Pt1 0.0000 0.5000 0.5000



# 3
# Ac2TbNi3Ge4 | Alexandria | PBE-GGA | relaxed
# * calculated total energy: -0.4025 Ry/atom
data_Ac2TbNi3Ge4
_symmetry_space_group_name_H-M 'P -4 m 2'
_symmetry_Int_Tables_number 115
_cell_length_a 4.3350
_cell_length_b 4.3350
_cell_length_c 11.0749
_cell_angle_alpha 90.00
_cell_angle_beta 90.00
_cell_angle_gamma 90.00
loop_
_symmetry_equiv_pos_as_xyz
'x,y,z'
'y,-x,-z'
'-x,-y,z'
'-y,x,-z'
'-x,y,z'
'-y,-x,-z'
'x,-y,z'
'y,x,-z'
loop_
_atom_site_label
_atom_site_fract_x
_atom_site_fract_y
_atom_site_fract_z
Ac1 0.0000 0.5000 0.2256
Tb1 0.0000 0.0000 0.5000
Ni1 0.0000 0.5000 0.8912
Ni2 0.5000 0.5000 0.5000
Ge1 0.0000 0.0000 0.0000
Ge2 0.0000 0.5000 0.6674
Ge3 0.5000 0.5000 0.0000



# 4
# YHfTcIr | Alexandria | PBE-GGA | relaxed
# * calculated total energy: -0.6947 Ry/atom
data_YHfTcIr
_symmetry_space_group_name_H-M 'F -4 3 m'
_symmetry_Int_Tables_number 216
_symmetry_space_group_name_Hall 'F -4 2 3'
_cell_length_a 6.6719
_cell_length_b 6.6719
_cell_length_c 6.6719
_cell_angle_alpha 90.00
_cell_angle_beta 90.00
_cell_angle_gamma 90.00
loop_
_atom_site_label
_atom_site_fract_x
_atom_site_fract_y
_atom_site_fract_z
Y1 0.0000 0.0000 0.0000
Hf1 0.0000 0.0000 0.5000
Tc1 0.2500 0.2500 0.7500
Ir1 0.2500 0.2500 0.2500



# 5
# Li6Hg3Au | Alexandria | PBE-GGA | relaxed
# * calculated total energy: -0.1429 Ry/atom
data_Li6Hg3Au
_symmetry_space_group_name_H-M 'P 1 21/m 1'
_symmetry_Int_Tables_number 11
_cell_length_a 7.8404
_cell_length_b 4.6631
_cell_length_c 9.9039
_cell_angle_alpha 90.00
_cell_angle_beta 107.11
_cell_angle_gamma 90.00
loop_
_symmetry_equiv_pos_as_xyz
'x,y,z'
'-x,-y,-z'
'-x,y+1/2,-z'
'x,-y+1/2,z'
loop_
_atom_site_label
_atom_site_fract_x
_atom_site_fract_y
_atom_site_fract_z
Li1 0.0425 0.2500 0.3998
Li2 0.1459 0.7500 0.1986
Li3 0.2696 0.2500 0.9935
Li4 0.3530 0.2500 0.2931
Li5 0.3571 0.7500 0.8180
Li6 0.4475 0.2500 0.6047
Hg1 0.0427 0.7500 0.9014
Hg2 0.1567 0.2500 0.6971
Hg3 0.2665 0.7500 0.4974
Au1 0.4405 0.7500 0.1120



# 6
# Ni2RuRh2 | Alexandria | PBE-GGA | relaxed
# * calculated total energy: -0.4959 Ry/atom
data_Ni2RuRh2
_symmetry_space_group_name_H-M 'P 4/m b m'
_symmetry_Int_Tables_number 127
_symmetry_space_group_name_Hall '-P 4 2ab'
_cell_length_a 7.0598
_cell_length_b 7.0598
_cell_length_c 2.7201
_cell_angle_alpha 90.00
_cell_angle_beta 90.00
_cell_angle_gamma 90.00
loop_
_atom_site_label
_atom_site_fract_x
_atom_site_fract_y
_atom_site_fract_z
Ni1 0.1688 0.3312 0.0000
Ru1 0.0000 0.0000 0.5000
Rh1 0.1301 0.6301 0.5000



# 7
# LiScCl | Alexandria | PBE-GGA | relaxed
# * formation energy (no corrections): -0.756 eV per atom
# * calculated total energy: -0.3028 Ry/atom
data_LiScCl
_symmetry_space_group_name_H-M 'F m m 2'
_symmetry_Int_Tables_number 42
_symmetry_space_group_name_Hall 'F 2 -2'
_cell_length_a 3.3781
_cell_length_b 5.8257
_cell_length_c 12.9679
_cell_angle_alpha 90.00
_cell_angle_beta 90.00
_cell_angle_gamma 90.00
loop_
_atom_site_label
_atom_site_fract_x
_atom_site_fract_y
_atom_site_fract_z
Li1 0.0000 0.0000 0.0000
Sc1 0.0000 0.0000 0.7019
Cl1 0.0000 0.0000 0.3599



# 8
# PmFe7B3 | Alexandria | PBE-GGA | relaxed
# * calculated total energy: -0.5634 Ry/atom
data_PmFe7B3
_symmetry_space_group_name_H-M 'R -3 c'
_symmetry_Int_Tables_number 167
_symmetry_space_group_name_Hall '-R 3 2"c'
_cell_length_a 6.7301
_cell_length_b 6.7301
_cell_length_c 18.7401
_cell_angle_alpha 90.00
_cell_angle_beta 90.00
_cell_angle_gamma 120.00
loop_
_atom_site_label
_atom_site_fract_x
_atom_site_fract_y
_atom_site_fract_z
Pm1 0.0000 0.0000 0.0000
Fe1 0.0000 0.0000 0.2500
Fe2 0.0088 0.2178 0.1388
B1 0.0000 0.3229 0.2500



# 9
# Ti6Sn2O | Alexandria | PBE-GGA | relaxed
# * formation energy (no corrections): -0.564 eV per atom
# * calculated total energy: -0.5342 Ry/atom
data_Ti6Sn2O
_symmetry_space_group_name_H-M 'A m m 2'
_symmetry_Int_Tables_number 38
_cell_length_a 3.1392
_cell_length_b 12.7685
_cell_length_c 7.4286
_cell_angle_alpha 90.00
_cell_angle_beta 90.00
_cell_angle_gamma 90.00
loop_
_symmetry_equiv_pos_as_xyz
'x,y,z'
'-x,-y,z'
'-x,y,z'
'x,-y,z'
'x,y+1/2,z+1/2'
'-x,-y+1/2,z+1/2'
'-x,y+1/2,z+1/2'
'x,-y+1/2,z+1/2'
loop_
_atom_site_label
_atom_site_fract_x
_atom_site_fract_y
_atom_site_fract_z
Ti1 0.0000 0.0000 0.0000
Ti2 0.0000 0.1079 0.6275
Ti3 0.5000 0.0000 0.3434
Ti4 0.5000 0.1748 0.9285
Sn1 0.0000 0.1762 0.2481
O1 0.5000 0.0000 0.8043



# 10
# KFe2Ir | Alexandria | PBE-GGA | relaxed
# * calculated total energy: -0.4207 Ry/atom
data_KFe2Ir
_symmetry_space_group_name_H-M 'C m m m'
_symmetry_Int_Tables_number 65
_symmetry_space_group_name_Hall '-C 2 2'
_cell_length_a 6.8205
_cell_length_b 6.8332
_cell_length_c 2.7395
_cell_angle_alpha 90.00
_cell_angle_beta 90.00
_cell_angle_gamma 90.00
loop_
_atom_site_label
_atom_site_fract_x
_atom_site_fract_y
_atom_site_fract_z
K1 0.0000 0.0000 0.0000
Fe1 0.2500 0.2500 0.5000
Ir1 0.0000 0.5000 0.0000



# 11
# Sm8Ir3CI4 | Alexandria | PBE-GGA | relaxed
# * formation energy (no corrections): -0.856 eV per atom
# * calculated total energy: -0.4293 Ry/atom
data_Sm8Ir3CI4
_symmetry_space_group_name_H-M 'C 1 2/m 1'
_symmetry_Int_Tables_number 12
_cell_length_a 14.2683
_cell_length_b 8.2356
_cell_length_c 9.2750
_cell_angle_alpha 90.00
_cell_angle_beta 120.92
_cell_angle_gamma 90.00
loop_
_symmetry_equiv_pos_as_xyz
'x,y,z'
'-x,-y,-z'
'-x,y,-z'
'x,-y,z'
'x+1/2,y+1/2,z'
'-x+1/2,-y+1/2,-z'
'-x+1/2,y+1/2,-z'
'x+1/2,-y+1/2,z'
loop_
_atom_site_label
_atom_site_fract_x
_atom_site_fract_y
_atom_site_fract_z
Sm1 0.0208 0.2368 0.3259
Sm2 0.2162 0.0000 0.6742
Sm3 0.2295 0.5000 0.6881
Ir1 0.0000 0.5000 0.5000
Ir2 0.2500 0.2500 0.5000
C1 0.0000 0.0000 0.5000
I1 0.0000 0.0000 0.0000
I2 0.0000 0.5000 0.0000
I3 0.2500 0.2500 0.0000



# 12
# Ac2ErGa3Ir4 | Alexandria | PBE-GGA | relaxed
# * calculated total energy: -0.4749 Ry/atom
data_Ac2ErGa3Ir4
_symmetry_space_group_name_H-M 'P -4 m 2'
_symmetry_Int_Tables_number 115
_cell_length_a 4.3562
_cell_length_b 4.3562
_cell_length_c 11.1702
_cell_angle_alpha 90.00
_cell_angle_beta 90.00
_cell_angle_gamma 90.00
loop_
_symmetry_equiv_pos_as_xyz
'x,y,z'
'y,-x,-z'
'-x,-y,z'
'-y,x,-z'
'-x,y,z'
'-y,-x,-z'
'x,-y,z'
'y,x,-z'
loop_
_atom_site_label
_atom_site_fract_x
_atom_site_fract_y
_atom_site_fract_z
Ac1 0.0000 0.5000 0.2278
Er1 0.0000 0.0000 0.5000
Ga1 0.0000 0.5000 0.8857
Ga2 0.5000 0.5000 0.5000
Ir1 0.0000 0.0000 0.0000
Ir2 0.0000 0.5000 0.6527
Ir3 0.5000 0.5000 0.0000